Record 1
Density functional theory data (PBE-GGA) for a geometry-optimized Rb2ZrSbO6 structure.

Unit cell a=5.8931 b=5.8935 c=8.3352 alpha=90.00 beta=90.00 gamma=90.00
Closest atoms and distances in Å follow each position.
Fractional coordinates of all 20 atoms:
1 Rb 0.5000 0.7499 0.2500  12 O 2.95
2 Rb 0.0000 0.2501 0.7500  12 O 2.95
3 Rb 0.5000 0.7499 0.7500  12 O 2.95
4 Rb 0.0000 0.2501 0.2500  12 O 2.95
5 Zr 0.0000 0.7499 0.5000  6 O 2.14
6 Zr 0.5000 0.2501 0.0000  6 O 2.14
7 Sb 0.5000 0.2499 0.5000  6 O 2.03
8 Sb 0.0000 0.7501 0.0000  6 O 2.03
9 O 0.5000 0.2498 0.2566  1 Sb 2.03, 1 Zr 2.14
10 O 0.5000 0.2498 0.7434  1 Sb 2.03, 1 Zr 2.14
11 O 0.0000 0.7502 0.2434  1 Sb 2.03, 1 Zr 2.14
12 O 0.0000 0.7502 0.7566  1 Sb 2.03, 1 Zr 2.14
13 O 0.2567 0.0066 0.5000  1 Sb 2.03, 1 Zr 2.14
14 O 0.7433 0.0066 0.5000  1 Sb 2.03, 1 Zr 2.14
15 O 0.2567 0.4931 0.5000  1 Sb 2.03, 1 Zr 2.14
16 O 0.7433 0.4931 0.5000  1 Sb 2.03, 1 Zr 2.14
17 O 0.7567 0.5069 0.0000  1 Sb 2.03, 1 Zr 2.14
18 O 0.2433 0.5069 0.0000  1 Sb 2.03, 1 Zr 2.14
19 O 0.2433 0.9934 0.0000  1 Sb 2.03, 1 Zr 2.14
20 O 0.7567 0.9934 0.0000  1 Sb 2.03, 1 Zr 2.14

Summary:
The density comes out at 5.506 g/cm³. The calculation puts the total energy at -127.6 eV per cell. As for the crystal system: cubic.


Record 2
Density functional theory data (PBE-GGA) for a geometry-optimized Pr2Sm3HoAs6 structure.

Unit cell a=4.2305 b=8.4554 c=9.4534 alpha=102.94 beta=102.93 gamma=90.00
Closest atoms and distances in Å follow each position.
Fractional coordinates of all 12 atoms:
1 Pr 0.8345 0.6683 0.6689  6 As 3.00-3.03
2 Pr 0.1655 0.3317 0.3311  6 As 3.00-3.03
3 Sm 0.5000 0.5000 0.0000  6 As 2.97-3.02
4 Sm 0.8328 0.1659 0.6657  6 As 2.96-3.02
5 Sm 0.1672 0.8341 0.3343  6 As 2.96-3.02
6 Ho 0.5000 0.0000 0.0000  6 As 2.95-2.96
7 As 0.3354 0.9219 0.6709  1 Ho 2.95, 3 Sm 2.96-3.02, 2 Pr 3.01
8 As 0.6655 0.5864 0.3309  3 Sm 2.97, 3 Pr 3.02-3.03
9 As 0.6646 0.0781 0.3291  1 Ho 2.95, 3 Sm 2.96-3.02, 2 Pr 3.01
10 As 0.9982 0.2440 0.9964  2 Ho 2.96, 3 Sm 2.97-3.02, 1 Pr 3.00
11 As 0.0018 0.7560 0.0036  2 Ho 2.96, 3 Sm 2.97-3.02, 1 Pr 3.00
12 As 0.3345 0.4136 0.6691  3 Sm 2.97, 3 Pr 3.02-3.03

Summary:
The density comes out at 6.975 g/cm³. The energy of formation is -1510 meV/atom. The calculation puts the total energy at -74.3 eV per cell. As for the crystal system: monoclinic.


Record 3
Density functional theory data (PBE-GGA) for a geometry-optimized CeTh4In2 structure.

Unit cell a=8.3260 b=8.3260 c=6.6892 alpha=128.49 beta=128.49 gamma=90.00
Closest atoms and distances in Å follow each position.
Fractional coordinates of all 7 atoms:
1 Ce 0.5000 0.5000 0.0000  8 Th 3.55-3.62
2 Th 0.8672 0.2680 0.1352  2 In 3.22, 4 Th 3.38-3.45, 1 Ce 3.55
3 Th 0.2680 0.8672 0.1352  2 In 3.22, 4 Th 3.38-3.45, 1 Ce 3.55
4 Th 0.7320 0.7320 0.8648  2 In 3.22, 4 Th 3.38-3.45, 1 Ce 3.55
5 Th 0.1328 0.1328 0.8648  2 In 3.22, 4 Th 3.38-3.45, 1 Ce 3.55
6 In 0.7500 0.2500 0.5000  2 In 3.18, 4 Th 3.22
7 In 0.2500 0.7500 0.5000  2 In 3.18, 4 Th 3.22

Summary:
The density comes out at 9.791 g/cm³. The energy of formation is 136 meV/atom. The calculation puts the total energy at -40.1 eV per cell. As for the crystal system: tetragonal.


Record 4
Density functional theory data (PBE-GGA) for a geometry-optimized CeThMo structure.

Unit cell a=4.5909 b=5.7503 c=6.5158 alpha=99.45 beta=110.63 gamma=90.00
Closest atoms and distances in Å follow each position.
Fractional coordinates of all 6 atoms:
1 Mo 0.7359 0.1320 0.4718  1 Ce 2.46
2 Mo 0.2641 0.8680 0.5282  1 Ce 2.46
3 Ce 0.5839 0.7895 0.1678  1 Mo 2.46
4 Ce 0.4161 0.2105 0.8322  1 Mo 2.46
5 Th 0.8675 0.6488 0.7350  3 Mo 3.00-3.12
6 Th 0.1325 0.3512 0.2650  3 Mo 3.00-3.12

Summary:
The calculation puts the energy relative to the lowest polymorph listed for this composition at 0.045 eV/atom. The density comes out at 9.809 g/cm³. The energy of formation is 175 meV/atom. The calculation puts the total energy at -47.3 eV per cell. As for the crystal system: monoclinic.


Record 5
Density functional theory data (PBE-GGA) for a geometry-optimized K3Tl2Pt2 structure.

Unit cell a=6.6412 b=9.3078 c=14.3995 alpha=90.00 beta=90.00 gamma=90.00
Closest atoms and distances in Å follow each position.
Fractional coordinates of all 28 atoms:
1 K 0.6632 0.2778 0.2500  4 Tl 3.31-3.63, 4 Pt 3.54-3.68
2 K 0.3368 0.7222 0.7500  4 Tl 3.31-3.63, 4 Pt 3.54-3.68
3 K 0.3368 0.7778 0.2500  4 Tl 3.31-3.63, 4 Pt 3.54-3.68
4 K 0.6632 0.2222 0.7500  4 Tl 3.31-3.63, 4 Pt 3.54-3.68
5 K 0.1320 0.1109 0.0959  2 Pt 3.22-3.41
6 K 0.8680 0.8891 0.5959  2 Pt 3.22-3.41
7 K 0.8680 0.6109 0.4041  2 Pt 3.22-3.41
8 K 0.1320 0.3891 0.9041  2 Pt 3.22-3.41
9 K 0.8680 0.8891 0.9041  2 Pt 3.22-3.41
10 K 0.1320 0.1109 0.4041  2 Pt 3.22-3.41
11 K 0.1320 0.3891 0.5959  2 Pt 3.22-3.41
12 K 0.8680 0.6109 0.0959  2 Pt 3.22-3.41
13 Tl 0.6052 0.2500 0.0000  4 Pt 2.79-2.85
14 Tl 0.3948 0.7500 0.5000  4 Pt 2.79-2.85
15 Tl 0.3948 0.7500 0.0000  4 Pt 2.79-2.85
16 Tl 0.6052 0.2500 0.5000  4 Pt 2.79-2.85
17 Tl 0.2070 0.4219 0.2500  2 Pt 2.73
18 Tl 0.7930 0.5781 0.7500  2 Pt 2.73
19 Tl 0.7930 0.9219 0.2500  2 Pt 2.73
20 Tl 0.2070 0.0781 0.7500  2 Pt 2.73
21 Pt 0.3894 0.4797 0.0844  3 Tl 2.73-2.85, 1 Pt 2.86
22 Pt 0.6106 0.5203 0.5844  3 Tl 2.73-2.85, 1 Pt 2.86
23 Pt 0.6106 0.9797 0.4156  3 Tl 2.73-2.85, 1 Pt 2.86
24 Pt 0.3894 0.0203 0.9156  3 Tl 2.73-2.85, 1 Pt 2.86
25 Pt 0.6106 0.5203 0.9156  3 Tl 2.73-2.85, 1 Pt 2.86
26 Pt 0.3894 0.4797 0.4156  3 Tl 2.73-2.85, 1 Pt 2.86
27 Pt 0.3894 0.0203 0.5844  3 Tl 2.73-2.85, 1 Pt 2.86
28 Pt 0.6106 0.9797 0.0844  3 Tl 2.73-2.85, 1 Pt 2.86

Summary:
The density comes out at 6.837 g/cm³. The energy of formation is -173 meV/atom. The calculation puts the total energy at -85.3 eV per cell. As for the crystal system: orthorhombic.


Record 6
Density functional theory data (PBE-GGA) for a geometry-optimized Pm4ZnGa2Cu structure.

Unit cell a=5.1613 b=5.1613 c=8.9600 alpha=73.26 beta=73.26 gamma=60.00
Closest atoms and distances in Å follow each position.
Fractional coordinates of all 8 atoms:
1 Pm 0.3770 0.3770 0.8689  1 Cu 3.12, 4 Ga 3.13-3.17, 3 Zn 3.18
2 Pm 0.8730 0.8730 0.3811  3 Cu 3.14, 4 Ga 3.17-3.20, 1 Zn 3.22
3 Pm 0.1270 0.1270 0.6189  3 Cu 3.14, 4 Ga 3.17-3.20, 1 Zn 3.22
4 Pm 0.6230 0.6230 0.1311  1 Cu 3.12, 4 Ga 3.13-3.17, 3 Zn 3.18
5 Zn 0.0000 0.0000 0.0000  8 Pm 3.18-3.22
6 Ga 0.7479 0.7479 0.7563  8 Pm 3.13-3.20
7 Ga 0.2521 0.2521 0.2437  8 Pm 3.13-3.20
8 Cu 0.5000 0.5000 0.5000  8 Pm 3.12-3.14

Summary:
The density comes out at 7.227 g/cm³. The energy of formation is -402 meV/atom. The calculation puts the total energy at -33.6 eV per cell. As for the crystal system: trigonal.


Record 7
Density functional theory data (PBE-GGA) for a geometry-optimized HoInAu2 structure.

Unit cell a=4.9266 b=4.9266 c=4.9266 alpha=60.00 beta=60.00 gamma=60.00
Closest atoms and distances in Å follow each position.
Fractional coordinates of all 4 atoms:
1 Au 0.7500 0.7500 0.7500  4 In 3.02, 4 Ho 3.02
2 Au 0.2500 0.2500 0.2500  4 In 3.02, 4 Ho 3.02
3 Ho 0.5000 0.5000 0.5000  8 Au 3.02
4 In 0.0000 0.0000 0.0000  8 Au 3.02

Summary:
The density comes out at 13.231 g/cm³. The energy of formation is -705 meV/atom. The calculation puts the total energy at -16.7 eV per cell. As for the crystal system: cubic.


Record 8
Density functional theory data (PBE-GGA) for a geometry-optimized Fe2CuP structure.

Unit cell a=2.7259 b=2.7259 c=5.8709 alpha=90.00 beta=90.00 gamma=90.00
Closest atoms and distances in Å follow each position.
Fractional coordinates of all 4 atoms:
1 Cu 0.5000 0.5000 0.7500  8 Fe 2.56, 4 Cu 2.73
2 Fe 0.0000 0.0000 0.0375  4 P 2.30, 1 Fe 2.50, 4 Cu 2.56
3 Fe 0.0000 0.0000 0.4625  4 P 2.30, 1 Fe 2.50, 4 Cu 2.56
4 P 0.5000 0.5000 0.2500  8 Fe 2.30

Summary:
The density comes out at 7.849 g/cm³. The energy of formation is -63 meV/atom. The calculation puts the total energy at -26.7 eV per cell. As for the crystal system: tetragonal.


Record 9
Density functional theory data (PBE-GGA) for a geometry-optimized CaSe2Cl structure.

Unit cell a=6.4890 b=6.4890 c=3.9646 alpha=72.25 beta=72.25 gamma=35.44
Closest atoms and distances in Å follow each position.
Fractional coordinates of all 4 atoms:
1 Ca 0.7500 0.7500 0.7500  4 Cl 2.80
2 Se 0.0004 0.0004 0.9996  4 Se 2.80
3 Se 0.4996 0.4996 0.5004  4 Se 2.80
4 Cl 0.2500 0.2500 0.2500  4 Ca 2.80

Summary:
The calculation puts the energy relative to the lowest polymorph listed for this composition at 0.121 eV/atom. The density comes out at 4.227 g/cm³. The calculation puts the total energy at -15.5 eV per cell. As for the crystal system: orthorhombic.


Record 10
Density functional theory data (PBE-GGA) for a geometry-optimized RbBPb structure.

Unit cell a=8.9972 b=5.4767 c=3.9906 alpha=90.00 beta=96.61 gamma=90.00
Closest atoms and distances in Å follow each position.
Fractional coordinates of all 6 atoms:
1 Pb 0.3323 0.0000 0.1707  2 Pb 3.22
2 Pb 0.1429 0.5000 0.0985  2 B 2.34-2.40
3 B 0.8499 0.5000 0.3277  1 B 1.57
4 B 0.9998 0.5000 0.5706  1 B 1.57
5 Rb 0.8648 0.0000 0.8508  6 B 3.25-3.44
6 Rb 0.5530 0.5000 0.7212  2 B 3.25-3.39

Summary:
The density comes out at 5.160 g/cm³. The energy of formation is 606 meV/atom. The calculation puts the total energy at -19.1 eV per cell. As for the crystal system: monoclinic.


Record 11
Density functional theory data (PBE-GGA) for a geometry-optimized La2SnH structure.

Unit cell a=3.5054 b=3.5054 c=7.7482 alpha=90.00 beta=90.00 gamma=90.00
Closest atoms and distances in Å follow each position.
Fractional coordinates of all 4 atoms:
1 H 0.5000 0.5000 0.0000  8 La 2.97
2 Sn 0.5000 0.5000 0.5000  8 La 3.34, 4 Sn 3.51
3 La 0.0000 0.0000 0.7898  4 H 2.97, 1 La 3.26
4 La 0.0000 0.0000 0.2102  4 H 2.97, 1 La 3.26

Summary:
The calculation puts the energy relative to the lowest polymorph listed for this composition at 0.297 eV/atom. The density comes out at 6.933 g/cm³. The calculation puts the total energy at -18.5 eV per cell. As for the crystal system: tetragonal.


Record 12
Density functional theory data (PBE-GGA) for a geometry-optimized Li2IrCl5 structure.

Unit cell a=4.7038 b=6.8961 c=6.8961 alpha=81.49 beta=67.40 gamma=67.40
Closest atoms and distances in Å follow each position.
Fractional coordinates of all 8 atoms:
1 Li 0.5936 0.5755 0.0366  5 Cl 2.50-2.79
2 Li 0.5936 0.0366 0.5755  5 Cl 2.50-2.79
3 Ir 0.0389 0.0373 0.0373  6 Cl 2.35-2.41
4 Cl 0.7419 0.2979 0.2979  1 Ir 2.35, 2 Li 2.51
5 Cl 0.0413 0.3011 0.7755  1 Ir 2.37, 2 Li 2.51
6 Cl 0.0413 0.7755 0.3011  1 Ir 2.37, 2 Li 2.51
7 Cl 0.3469 0.7700 0.7700  1 Ir 2.41, 2 Li 2.50
8 Cl 0.6025 0.9831 0.9831  2 Ir 2.39-2.41

Summary:
The density comes out at 3.339 g/cm³. The calculation puts the total energy at -30.2 eV per cell. As for the crystal system: monoclinic.